# 1
{
  "formula": "CuP3H",
  "functional": "PBE",
  "state": "relaxed",
  "sg": "Pm-3m, No. 221",
  "rho_g_cm3": 4.28,
  "magmom_total_mub_per_cell": 0.00,
  "e_above_lowest_polymorph_ev_per_fu": 0.00,
  "cell": [[3.939, 0.000, 0.000], [0.000, 3.939, 0.000], [0.000, 0.000, 3.939]],
  "species": ["Cu", "P", "P", "P", "H"],
  "frac_coords": [[0.000, 0.000, 0.000], [0.000, 0.500, 0.500], [0.500, 0.000, 0.500], [0.500, 0.500, 0.000], [0.500, 0.500, 0.500]]
}


# 2
{
  "formula": "BPNCl2",
  "functional": "PBE",
  "state": "relaxed",
  "e_form_raw_mev_per_atom": 1572,
  "sg": "P4/mmm, No. 123",
  "rho_g_cm3": 2.44,
  "magmom_total_mub_per_cell": 2.62,
  "e_above_lowest_polymorph_ev_per_fu": 0.17,
  "cell": [[4.744, 0.000, 0.000], [0.000, 4.744, 0.000], [0.000, 0.000, 3.823]],
  "species": ["B", "P", "N", "Cl", "Cl"],
  "frac_coords": [[0.000, 0.000, 0.000], [0.000, 0.000, 0.500], [0.500, 0.500, 0.500], [0.000, 0.500, 0.000], [0.500, 0.000, 0.000]]
}


# 3
{
  "formula": "AcTb5Sm3",
  "functional": "PBE",
  "state": "relaxed",
  "sg": "Imma, No. 74",
  "rho_g_cm3": 7.90,
  "magmom_total_mub_per_cell": 0.00,
  "e_above_lowest_polymorph_ev_per_fu": 0.00,
  "formation_energy_ev_per_atom": 0.1502,
  "cell": [[-3.640, 9.002, 4.726], [3.640, -9.002, 4.726], [3.640, 9.002, -4.726]],
  "species": ["Ac", "Ac", "Tb", "Tb", "Tb", "Tb", "Tb", "Tb", "Tb", "Tb", "Tb", "Tb", "Sm", "Sm", "Sm", "Sm", "Sm", "Sm"],
  "frac_coords": [[0.328, 0.078, 0.250], [0.672, 0.922, 0.750], [0.156, 0.327, 0.338], [0.156, 0.818, 0.830], [0.308, 0.558, 0.750], [0.488, 0.327, 0.670], [0.488, 0.818, 0.162], [0.512, 0.182, 0.838], [0.512, 0.673, 0.330], [0.692, 0.442, 0.250], [0.844, 0.182, 0.170], [0.844, 0.673, 0.662], [0.000, 0.000, 0.500], [0.000, 0.500, 0.000], [0.183, 0.248, 0.935], [0.187, 0.752, 0.435], [0.813, 0.248, 0.565], [0.817, 0.752, 0.065]]
}


# 4
{
  "formula": "K2Na12In",
  "functional": "PBE",
  "state": "relaxed",
  "sg": "P4/nbm, No. 125",
  "rho_g_cm3": 1.21,
  "magmom_total_mub_per_cell": 0.00,
  "formation_energy_ev_per_atom": 0.0537,
  "cell": [[7.335, 0.000, 0.000], [0.000, 7.335, 0.000], [0.000, 0.000, 23.905]],
  "species": ["K", "K", "K", "K", "Na", "Na", "Na", "Na", "Na", "Na", "Na", "Na", "Na", "Na", "Na", "Na", "Na", "Na", "Na", "Na", "Na", "Na", "Na", "Na", "Na", "Na", "Na", "Na", "In", "In"],
  "frac_coords": [[0.250, 0.750, 0.242], [0.250, 0.750, 0.758], [0.750, 0.250, 0.242], [0.750, 0.250, 0.758], [0.000, 0.000, 0.420], [0.000, 0.000, 0.580], [0.000, 0.500, 0.420], [0.000, 0.500, 0.580], [0.081, 0.581, 0.065], [0.081, 0.919, 0.935], [0.250, 0.250, 0.164], [0.250, 0.250, 0.312], [0.250, 0.250, 0.688], [0.250, 0.250, 0.836], [0.419, 0.581, 0.935], [0.419, 0.919, 0.065], [0.500, 0.000, 0.420], [0.500, 0.000, 0.580], [0.500, 0.500, 0.420], [0.500, 0.500, 0.580], [0.581, 0.081, 0.935], [0.581, 0.419, 0.065], [0.750, 0.750, 0.164], [0.750, 0.750, 0.312], [0.750, 0.750, 0.688], [0.750, 0.750, 0.836], [0.919, 0.081, 0.065], [0.919, 0.419, 0.935], [0.250, 0.750, 0.500], [0.750, 0.250, 0.500]]
}


# 5
{
  "formula": "B",
  "functional": "PBE",
  "state": "relaxed",
  "sg": "Pmmn, No. 59",
  "rho_g_cm3": 2.20,
  "magmom_total_mub_per_cell": 0.00,
  "e_above_lowest_polymorph_ev_per_fu": 0.49,
  "formation_energy_ev_per_atom": 0.4860,
  "cell": [[2.762, 0.000, 0.000], [0.000, 8.348, 0.000], [0.000, 0.000, 4.242]],
  "species": ["B", "B", "B", "B", "B", "B", "B", "B", "B", "B", "B", "B"],
  "frac_coords": [[0.250, 0.061, 0.013], [0.250, 0.250, 0.195], [0.250, 0.439, 0.013], [0.250, 0.611, 0.225], [0.250, 0.750, 0.503], [0.250, 0.889, 0.225], [0.750, 0.111, 0.775], [0.750, 0.250, 0.497], [0.750, 0.389, 0.775], [0.750, 0.561, 0.987], [0.750, 0.750, 0.805], [0.750, 0.939, 0.987]]
}


# 6
{
  "formula": "KAs5",
  "functional": "PBE",
  "state": "relaxed",
  "sg": "P6/mmm, No. 191",
  "rho_g_cm3": 4.56,
  "magmom_total_mub_per_cell": 0.00,
  "e_above_lowest_polymorph_ev_per_fu": 0.53,
  "formation_energy_ev_per_atom": 0.0633,
  "cell": [[6.897, 0.000, 0.000], [-3.448, 5.973, 0.000], [0.000, 0.000, 3.659]],
  "species": ["K", "As", "As", "As", "As", "As"],
  "frac_coords": [[0.000, 0.000, 0.000], [0.000, 0.500, 0.500], [0.333, 0.667, 0.000], [0.500, 0.000, 0.500], [0.500, 0.500, 0.500], [0.667, 0.333, 0.000]]
}


# 7
{
  "formula": "YTl2Ru",
  "functional": "PBE",
  "state": "relaxed",
  "sg": "I-4m2, No. 119",
  "rho_g_cm3": 11.04,
  "magmom_total_mub_per_cell": 0.69,
  "e_above_lowest_polymorph_ev_per_fu": 0.60,
  "formation_energy_ev_per_atom": 0.1591,
  "cell": [[-2.256, 2.256, 4.422], [2.256, -2.256, 4.422], [2.256, 2.256, -4.422]],
  "species": ["Y", "Tl", "Tl", "Ru"],
  "frac_coords": [[0.000, 0.000, 0.000], [0.500, 0.500, 0.000], [0.750, 0.250, 0.500], [0.250, 0.750, 0.500]]
}


# 8
{
  "formula": "InPIO2",
  "functional": "PBE",
  "state": "relaxed",
  "e_form_raw_mev_per_atom": 145,
  "sg": "P4/mmm, No. 123",
  "rho_g_cm3": 4.63,
  "magmom_total_mub_per_cell": 2.03,
  "e_above_lowest_polymorph_ev_per_fu": 0.85,
  "cell": [[4.164, 0.000, 0.000], [0.000, 4.164, 0.000], [0.000, 0.000, 6.299]],
  "species": ["In", "P", "I", "O", "O"],
  "frac_coords": [[0.000, 0.000, 0.000], [0.500, 0.500, 0.500], [0.000, 0.000, 0.500], [0.000, 0.500, 0.000], [0.500, 0.000, 0.000]]
}


# 9
{
  "formula": "Li5As4",
  "functional": "PBE",
  "state": "relaxed",
  "sg": "P6_3/mcm, No. 193",
  "rho_g_cm3": 3.56,
  "magmom_total_mub_per_cell": 0.00,
  "e_above_lowest_polymorph_ev_per_fu": 1.02,
  "formation_energy_ev_per_atom": -0.4117,
  "cell": [[8.425, 0.000, 0.000], [-4.213, 7.297, 0.000], [0.000, 0.000, 5.076]],
  "species": ["Li", "Li", "Li", "Li", "Li", "Li", "Li", "Li", "Li", "Li", "As", "As", "As", "As", "As", "As", "As", "As"],
  "frac_coords": [[0.000, 0.269, 0.250], [0.000, 0.731, 0.750], [0.269, 0.000, 0.250], [0.269, 0.269, 0.750], [0.333, 0.667, 0.000], [0.333, 0.667, 0.500], [0.667, 0.333, 0.000], [0.667, 0.333, 0.500], [0.731, 0.000, 0.750], [0.731, 0.731, 0.250], [0.000, 0.000, 0.000], [0.000, 0.000, 0.500], [0.000, 0.428, 0.750], [0.000, 0.572, 0.250], [0.428, 0.000, 0.750], [0.428, 0.428, 0.250], [0.572, 0.000, 0.250], [0.572, 0.572, 0.750]]
}


# 10
{
  "formula": "Tb12CePm2",
  "functional": "PBE",
  "state": "relaxed",
  "sg": "Cmme, No. 67",
  "rho_g_cm3": 7.83,
  "magmom_total_mub_per_cell": 2.79,
  "formation_energy_ev_per_atom": 0.1782,
  "cell": [[3.509, -5.695, 0.000], [3.509, 5.695, 0.000], [0.000, 0.000, 24.801]],
  "species": ["Tb", "Tb", "Tb", "Tb", "Tb", "Tb", "Tb", "Tb", "Tb", "Tb", "Tb", "Tb", "Tb", "Tb", "Tb", "Tb", "Tb", "Tb", "Tb", "Tb", "Tb", "Tb", "Tb", "Tb", "Ce", "Ce", "Pm", "Pm", "Pm", "Pm"],
  "frac_coords": [[0.001, 0.501, 0.126], [0.002, 0.998, 0.924], [0.013, 0.513, 0.584], [0.016, 0.984, 0.439], [0.250, 0.250, 0.199], [0.250, 0.250, 0.327], [0.250, 0.250, 0.673], [0.250, 0.250, 0.801], [0.484, 0.516, 0.439], [0.487, 0.987, 0.584], [0.498, 0.502, 0.924], [0.499, 0.999, 0.126], [0.501, 0.001, 0.874], [0.502, 0.498, 0.076], [0.513, 0.013, 0.416], [0.516, 0.484, 0.561], [0.750, 0.750, 0.199], [0.750, 0.750, 0.327], [0.750, 0.750, 0.673], [0.750, 0.750, 0.801], [0.984, 0.016, 0.561], [0.987, 0.487, 0.416], [0.998, 0.002, 0.076], [0.999, 0.499, 0.874], [0.250, 0.750, 0.001], [0.750, 0.250, 0.999], [0.250, 0.750, 0.271], [0.250, 0.750, 0.735], [0.750, 0.250, 0.265], [0.750, 0.250, 0.729]]
}


# 11
{
  "formula": "Rb3Tm2UTe6",
  "functional": "PBE",
  "state": "relaxed",
  "e_form_raw_mev_per_atom": -1170,
  "sg": "C2/m, No. 12",
  "rho_g_cm3": 5.82,
  "magmom_total_mub_per_cell": 3.01,
  "cell": [[3.920, -6.790, 0.000], [3.920, 6.790, 0.000], [-2.615, 0.000, 8.559]],
  "species": ["Rb", "Rb", "Rb", "Tm", "Tm", "U", "Te", "Te", "Te", "Te", "Te", "Te"],
  "frac_coords": [[0.000, 0.000, 0.000], [0.335, 0.665, 0.000], [0.665, 0.335, 0.000], [0.167, 0.833, 0.500], [0.833, 0.167, 0.500], [0.500, 0.500, 0.500], [0.093, 0.434, 0.301], [0.225, 0.225, 0.699], [0.434, 0.093, 0.301], [0.566, 0.907, 0.699], [0.775, 0.775, 0.301], [0.907, 0.566, 0.699]]
}


# 12
{
  "formula": "Li4Er3MnSe8",
  "functional": "PBE",
  "state": "relaxed",
  "e_form_raw_mev_per_atom": -1430,
  "sg": "R-3m, No. 166",
  "rho_g_cm3": 5.75,
  "magmom_total_mub_per_cell": 3.99,
  "cell": [[3.965, 2.289, 6.454], [-3.965, 2.289, 6.454], [0.000, -4.578, 6.454]],
  "species": ["Li", "Li", "Li", "Li", "Er", "Er", "Er", "Mn", "Se", "Se", "Se", "Se", "Se", "Se", "Se", "Se"],
  "frac_coords": [[0.000, 0.000, 0.000], [0.000, 0.500, 0.500], [0.500, 0.000, 0.500], [0.500, 0.500, 0.000], [0.000, 0.000, 0.500], [0.000, 0.500, 0.000], [0.500, 0.000, 0.000], [0.500, 0.500, 0.500], [0.251, 0.251, 0.251], [0.260, 0.260, 0.734], [0.260, 0.734, 0.260], [0.266, 0.740, 0.740], [0.734, 0.260, 0.260], [0.740, 0.266, 0.740], [0.740, 0.740, 0.266], [0.749, 0.749, 0.749]]
}